Entry w
# HoEr2Ga6 (GGA-PBE, relaxed)
# size of the total moment	0.00	μB/cell
# DOS(E_F)	0.367	states/eV/atom
data_HoEr2Ga6
_chemical_formula_sum 'Ho1 Er2 Ga6'
_cell_length_a 7.4542
_cell_length_b 7.4542
_cell_length_c 3.7755
_cell_angle_alpha 90.00
_cell_angle_beta 90.00
_cell_angle_gamma 120.00
_symmetry_space_group_name_H-M 'P 6/m m m'
_symmetry_Int_Tables_number 191
_symmetry_space_group_name_Hall '-P 6 2'
loop_
_atom_site_label
_atom_site_fract_x
_atom_site_fract_y
_atom_site_fract_z
Ho1 0.0000 0.0000 0.0000
Er1 0.3333 0.6667 0.0000
Ga1 0.0000 0.3335 0.5000

Entry x
# HoEr2Ga6 (GGA-PBE, relaxed)
# size of the total moment	0.00	μB/cell
# DOS(E_F)	0.504	states/eV/atom
data_HoEr2Ga6
_chemical_formula_sum 'Ho2 Er4 Ga12'
_cell_length_a 4.270
_cell_length_b 6.923
_cell_length_c 13.314
_cell_angle_alpha 90.00
_cell_angle_beta 90.00
_cell_angle_gamma 90.00
_symmetry_space_group_name_H-M 'I m m m'
_symmetry_Int_Tables_number 71
_symmetry_space_group_name_Hall '-I 2 2'
loop_
_atom_site_label
_atom_site_fract_x
_atom_site_fract_y
_atom_site_fract_z
Ho1 0.000 0.000 0.000
Er1 0.000 0.500 0.125
Ga1 0.000 0.191 0.500
Ga2 0.000 0.307 0.315

entry w is favored, and the nearest alternative lies 154 meV/atom above it.

Entry w
# Ho3ErGa4 (GGA-PBE, relaxed)
# size of the total moment	0.00	μB/cell
# DOS(E_F)	0.522	states/eV/atom
data_Ho3ErGa4
_chemical_formula_sum 'Ho6 Er2 Ga8'
_cell_length_a 3.566
_cell_length_b 6.698
_cell_length_c 16.492
_cell_angle_alpha 90.00
_cell_angle_beta 90.00
_cell_angle_gamma 90.00
_symmetry_space_group_name_H-M 'I m m m'
_symmetry_Int_Tables_number 71
_symmetry_space_group_name_Hall '-I 2 2'
loop_
_atom_site_label
_atom_site_fract_x
_atom_site_fract_y
_atom_site_fract_z
Ho1 0.000 0.000 0.000
Ho2 0.000 0.500 0.203
Er1 0.000 0.000 0.500
Ga1 0.000 0.307 0.371

Entry x
# Ho3ErGa4 (GGA-PBE, relaxed)
# size of the total moment	0.00	μB/cell
# DOS(E_F)	0.389	states/eV/atom
data_Ho3ErGa4
_chemical_formula_sum 'Ho9 Er3 Ga12'
_cell_length_a 5.0173
_cell_length_b 5.0173
_cell_length_c 24.6510
_cell_angle_alpha 90.00
_cell_angle_beta 90.00
_cell_angle_gamma 120.00
_symmetry_space_group_name_H-M 'R -3 m'
_symmetry_Int_Tables_number 166
_symmetry_space_group_name_Hall '-R 3 2"'
loop_
_atom_site_label
_atom_site_fract_x
_atom_site_fract_y
_atom_site_fract_z
Ho1 0.0000 0.0000 0.0000
Ho2 0.0000 0.0000 0.2498
Er1 0.0000 0.0000 0.5000
Ga1 0.0000 0.0000 0.1252
Ga2 0.0000 0.0000 0.3752

entry x is favored, and the nearest alternative lies 115 meV/atom above it.